SbMoI2Cl | the Alexandria database | PBEsol | relaxed; SG = P4/mmm (123); E_form (uncorrected) = 1.37 eV/atom; electronic total energy = -15.013 eV/cell; polymorph energy (0 for the lowest one) = 1.072 eV per atom
1.0
-4.3026 -1.2186 2.8139
3.1711 -1.3406 4.2682
-0.2704 5.1647 1.8231
I Mo Sb Cl
2 1 1 1
direct
0.0000 0.0000 0.5000 I
0.0000 0.5000 0.0000 I
0.5000 0.5000 0.5000 Mo
0.5000 0.0000 0.0000 Sb
0.0000 0.0000 0.0000 Cl